[1]
An optimized crystal structure of CaY4Ho, computed with PBE.

Results
symmetry: C2/m, No. 12
raw total energy: -64.2 eV for the cell shown
energy of formation from the pure elements: 0.06 eV/atom

Unit cell a=3.636 b=6.345 c=17.480 alpha=96.89 beta=90.00 gamma=90.00
Element x y z (fractional)
Y  0.501  0.608  0.332
Y  0.501  0.886  0.172
Y  0.999  0.886  0.672
Y  0.499  0.392  0.668
Y  0.499  0.114  0.828
Y  0.001  0.114  0.328
Y  0.001  0.392  0.168
Y  0.999  0.608  0.832
Ca  0.000  0.000  0.000
Ca  0.500  0.000  0.500
Ho  0.000  0.500  0.500
Ho  0.500  0.500  0.000

[2]
An optimized crystal structure of CsAl3Si, computed with PBE.

Results
uncorrected formation energy: 2058 meV per atom
symmetry: Pm-3m, No. 221
raw total energy: -7.2 eV for the cell shown
energy relative to the lowest polymorph listed for this composition: 1455 meV/atom

Unit cell a=5.810 b=5.810 c=5.810 alpha=90.00 beta=90.00 gamma=90.00
Element x y z (fractional)
Al  0.500  0.000  0.000
Al  0.000  0.000  0.500
Al  0.000  0.500  0.000
Si  0.500  0.500  0.500
Cs  0.000  0.000  0.000

[3]
An optimized crystal structure of PrSm2DyTm5, computed with PBE.

Results
symmetry: I4/mcm, No. 140
raw total energy: -77.5 eV for the cell shown
energy of formation from the pure elements: 0.27 eV/atom

Unit cell a=8.739 b=8.739 c=9.762 alpha=116.59 beta=116.59 gamma=90.00
Element x y z (fractional)
Pr  0.750  0.750  0.500
Pr  0.250  0.250  0.500
Dy  0.250  0.750  0.500
Dy  0.750  0.250  0.500
Sm  0.115  0.385  0.000
Sm  0.385  0.885  0.000
Sm  0.615  0.115  0.000
Sm  0.885  0.615  0.000
Tm  0.427  0.344  0.271
Tm  0.073  0.573  0.729
Tm  0.656  0.156  0.729
Tm  0.573  0.656  0.729
Tm  0.156  0.073  0.729
Tm  0.844  0.927  0.271
Tm  0.500  0.500  0.000
Tm  0.344  0.844  0.271
Tm  0.000  0.000  0.000
Tm  0.927  0.427  0.271

[4]
An optimized crystal structure of CaAc15Tb4, computed with PBE.

Results
symmetry: P4/mmm, No. 123
raw total energy: -81.6 eV for the cell shown
energy of formation from the pure elements: 0.03 eV/atom

Unit cell a=5.524 b=5.524 c=27.514 alpha=90.00 beta=90.00 gamma=90.00
Element x y z (fractional)
Ac  0.500  0.000  0.896
Ac  0.500  0.500  0.400
Ac  0.500  0.500  0.798
Ac  0.000  0.500  0.104
Ac  0.500  0.000  0.699
Ac  0.500  0.000  0.301
Ac  0.500  0.000  0.104
Ac  0.000  0.500  0.301
Ac  0.000  0.500  0.500
Ac  0.500  0.500  0.600
Ac  0.500  0.500  0.202
Ac  0.500  0.500  0.000
Ac  0.000  0.500  0.699
Ac  0.000  0.500  0.896
Ac  0.500  0.000  0.500
Ca  0.000  0.000  0.000
Tb  0.000  0.000  0.799
Tb  0.000  0.000  0.201
Tb  0.000  0.000  0.401
Tb  0.000  0.000  0.599

[5]
An optimized crystal structure of Sr2ZnO2F2, computed with PBE.

Results
uncorrected formation energy: -2770 meV per atom
symmetry: I4/mmm, No. 139
raw total energy: -37.7 eV for the cell shown

Unit cell a=4.022 b=4.022 c=7.167 alpha=106.30 beta=106.30 gamma=90.00
Element x y z (fractional)
Sr  0.375  0.375  0.750
Sr  0.625  0.625  0.250
O  0.500  0.000  0.000
O  0.000  0.500  0.000
F  0.187  0.187  0.374
F  0.813  0.813  0.626
Zn  0.000  0.000  0.000

[6]
An optimized crystal structure of CeMgCuS3, computed with PBE.

Results
uncorrected formation energy: -1346 meV per atom
symmetry: P2_1/m, No. 11
raw total energy: -64.2 eV for the cell shown

Unit cell a=3.798 b=7.724 c=8.357 alpha=103.36 beta=90.00 gamma=90.00
Site moments in Bohr magnetons follow the coordinates.
Element x y z (fractional)
Mg  0.750  0.340  0.845  0.00
Mg  0.250  0.660  0.155  0.00
S  0.250  0.101  0.866  -0.01
S  0.750  0.431  0.159  -0.01
S  0.750  0.899  0.134  -0.01
S  0.250  0.765  0.485  -0.01
S  0.750  0.235  0.515  -0.01
S  0.250  0.569  0.841  -0.01
Cu  0.250  0.087  0.587  -0.01
Cu  0.750  0.913  0.413  -0.01
Ce  0.250  0.188  0.239  0.94
Ce  0.750  0.812  0.761  0.94

[7]
An optimized crystal structure of LaPmNd14, computed with PBE.

Results
symmetry: Amm2, No. 38
raw total energy: -76.4 eV for the cell shown
energy of formation from the pure elements: 0.00 eV/atom

Unit cell a=7.408 b=7.408 c=11.932 alpha=90.00 beta=90.00 gamma=119.96
Element x y z (fractional)
La  0.208  0.792  0.500
Pm  0.708  0.292  0.500
Nd  0.375  0.625  0.249
Nd  0.041  0.959  0.000
Nd  0.041  0.457  0.000
Nd  0.375  0.125  0.751
Nd  0.375  0.625  0.751
Nd  0.875  0.625  0.249
Nd  0.543  0.959  0.000
Nd  0.542  0.458  0.000
Nd  0.875  0.125  0.251
Nd  0.875  0.125  0.749
Nd  0.708  0.791  0.500
Nd  0.375  0.125  0.249
Nd  0.209  0.292  0.500
Nd  0.875  0.625  0.751

[8]
An optimized crystal structure of Pr2Mn2Ge2N, computed with PBE.

Results
uncorrected formation energy: -587 meV per atom
symmetry: I4/mmm, No. 139
raw total energy: -49.6 eV for the cell shown

Unit cell a=4.140 b=4.140 c=8.234 alpha=104.56 beta=104.56 gamma=90.00
Site moments in Bohr magnetons follow the coordinates.
Element x y z (fractional)
Ge  0.386  0.386  0.773  -0.06
Ge  0.614  0.614  0.227  -0.06
Pr  0.838  0.838  0.676  -0.06
Pr  0.162  0.162  0.324  -0.06
N  0.000  0.000  0.000  0.01
Mn  0.500  0.000  0.000  3.02
Mn  0.000  0.500  0.000  3.02

[9]
An optimized crystal structure of KRb2BaO, computed with PBE.

Results
uncorrected formation energy: -236 meV per atom
symmetry: P4/mmm, No. 123
raw total energy: -11.1 eV for the cell shown

Unit cell a=6.144 b=5.886 c=6.144 alpha=90.00 beta=90.00 gamma=90.00
Site moments in Bohr magnetons follow the coordinates.
Element x y z (fractional)
Ba  0.500  0.500  0.500  0.20
Rb  0.500  0.000  0.000  0.02
Rb  0.000  0.000  0.500  0.02
O  0.000  0.000  0.000  0.00
K  0.000  0.500  0.000  0.01

[10]
An optimized crystal structure of BaCaZnCu, computed with PBE.

Results
symmetry: R3m, No. 160
raw total energy: -9.8 eV for the cell shown
energy of formation from the pure elements: -0.13 eV/atom

Unit cell a=4.426 b=4.426 c=8.149 alpha=90.04 beta=105.72 gamma=119.99
Element x y z (fractional)
Ba  0.358  0.044  0.402
Ca  0.011  0.869  0.880
Cu  0.494  0.612  0.106
Zn  0.829  0.279  0.108

[11]
An optimized crystal structure of KBAs2W, computed with PBE.

Results
symmetry: P4/mmm, No. 123
raw total energy: -28.3 eV for the cell shown
energy of formation from the pure elements: 0.35 eV/atom

Unit cell a=4.955 b=4.431 c=4.955 alpha=90.00 beta=90.00 gamma=90.00
Element x y z (fractional)
As  0.000  0.000  0.500
As  0.500  0.000  0.000
K  0.500  0.500  0.500
B  0.000  0.500  0.000
W  0.000  0.000  0.000

Question: The highest raw total energy belongs to which entry?
Answer: CsAl3Si